RuSeNO2 | PBE | relaxed

Results
The uncorrected formation energy comes out at 2.08 eV/f.u. Its total energy is -5.78 eV per atom.

Cell and atoms, written as POSCAR:
```
RuSeNO2
1.0
3.8814 0.0000 0.0000
0.0000 3.8814 0.0000
0.0000 0.0000 3.9406
Ru O Se N
1 2 1 1
Cartesian
0.0000 0.0000 0.0000
0.0000 1.9407 0.0000
1.9407 0.0000 0.0000
1.9407 1.9407 1.9703
0.0000 0.0000 1.9703
```